(1)
VASP calculation (PBE-GGA) on a relaxed structure of RePRu2.

Output
volume	14.03	Å³ per atom
formation enthalpy at 0 K	0.08	eV per atom
total magnetic moment	0.0	μB per cell
symmetry	C2/m, No. 12

Geometry as POSCAR:
```
RePRu2
1.0
4.528 -1.405 0.000
4.528 1.405 0.000
-0.095 0.000 4.411
Re P Ru
1 1 2
Direct
0.000 0.000 0.000
0.500 0.500 0.500
0.273 0.273 0.755
0.727 0.727 0.245
```

***

(2)
VASP calculation (PBE-GGA) on a relaxed structure of RePRu2.

Output
volume	14.15	Å³ per atom
formation enthalpy at 0 K	0.32	eV per atom
total magnetic moment	0.9	μB per cell
symmetry	P4/mmm, No. 123

Geometry as POSCAR:
```
RePRu2
1.0
4.475 0.000 0.000
0.000 4.475 0.000
0.000 0.000 2.827
Re P Ru
1 1 2
Direct
0.000 0.000 0.000
0.500 0.500 0.000
0.000 0.500 0.500
0.500 0.000 0.500
```

***

(3)
VASP calculation (PBE-GGA) on a relaxed structure of RePRu2.

Output
volume	13.84	Å³ per atom
formation enthalpy at 0 K	0.37	eV per atom
total magnetic moment	0.0	μB per cell
symmetry	P4/mmm, No. 123

Geometry as POSCAR:
```
RePRu2
1.0
3.897 0.000 0.000
0.000 3.897 0.000
0.000 0.000 3.645
Re P Ru
1 1 2
Direct
0.000 0.000 0.000
0.500 0.500 0.000
0.000 0.500 0.500
0.500 0.000 0.500
```

***

(4)
VASP calculation (PBE-GGA) on a relaxed structure of RePRu.

Output
volume	13.92	Å³ per atom
formation enthalpy at 0 K	0.14	eV per atom
total magnetic moment	0.0	μB per cell
symmetry	Imm2, No. 44

Geometry as POSCAR:
```
RePRu
1.0
-1.435 1.963 3.707
1.435 -1.963 3.707
1.435 1.963 -3.707
Re P Ru
1 1 1
Direct
0.000 0.000 0.000
0.675 0.675 0.000
0.351 0.351 0.000
```

***

(5)
VASP calculation (PBE-GGA) on a relaxed structure of ReP2Ru.

Output
volume	13.49	Å³ per atom
formation enthalpy at 0 K	-0.11	eV per atom
total magnetic moment	0.0	μB per cell
symmetry	R-3m, No. 166

Geometry as POSCAR:
```
ReP2Ru
1.0
1.463 0.845 7.277
-1.463 0.845 7.277
0.000 -1.690 7.277
Re P Ru
1 2 1
Direct
0.000 0.000 0.000
0.250 0.250 0.250
0.750 0.750 0.750
0.500 0.500 0.500
```

***

(6)
VASP calculation (PBE-GGA) on a relaxed structure of RePRu2.

Output
volume	13.76	Å³ per atom
formation enthalpy at 0 K	0.01	eV per atom
total magnetic moment	0.0	μB per cell
symmetry	R3m, No. 160

Geometry as POSCAR:
```
RePRu2
1.0
1.396 0.806 8.150
-1.396 0.806 8.150
0.000 -1.612 8.150
Re P Ru
1 1 2
Direct
0.000 0.000 0.000
0.254 0.254 0.254
0.513 0.513 0.513
0.755 0.755 0.755
```

***

(7)
VASP calculation (PBE-GGA) on a relaxed structure of RePRu2.

Output
volume	13.44	Å³ per atom
formation enthalpy at 0 K	-0.14	eV per atom
total magnetic moment	0.0	μB per cell
symmetry	Immm, No. 71

Geometry as POSCAR:
```
RePRu2
1.0
-1.431 2.155 4.357
1.431 -2.155 4.357
1.431 2.155 -4.357
Re P Ru
1 1 2
Direct
0.000 0.000 0.000
0.500 0.500 0.000
0.284 0.784 0.500
0.716 0.216 0.500
```

***

(8)
VASP calculation (PBE-GGA) on a relaxed structure of RePRu2.

Output
volume	13.83	Å³ per atom
formation enthalpy at 0 K	0.23	eV per atom
total magnetic moment	0.0	μB per cell
symmetry	F-43m, No. 216

Geometry as POSCAR:
```
RePRu2
1.0
0.000 3.025 3.025
3.025 0.000 3.025
3.025 3.025 0.000
Re P Ru
1 1 2
Direct
0.000 0.000 0.000
0.750 0.750 0.750
0.250 0.250 0.250
0.500 0.500 0.500
```

***

(9)
VASP calculation (PBE-GGA) on a relaxed structure of RePRu.

Output
volume	13.76	Å³ per atom
formation enthalpy at 0 K	-0.07	eV per atom
total magnetic moment	0.0	μB per cell
symmetry	P3m1, No. 156

Geometry as POSCAR:
```
RePRu
1.0
4.111 0.000 0.000
-2.055 3.560 0.000
0.000 0.000 2.821
Re P Ru
1 1 1
Direct
0.000 0.000 0.000
0.333 0.667 0.848
0.667 0.333 0.521
```

***

(10)
VASP calculation (PBE-GGA) on a relaxed structure of ReP2Ru.

Output
volume	12.92	Å³ per atom
formation enthalpy at 0 K	-0.19	eV per atom
total magnetic moment	0.0	μB per cell
symmetry	Fm-3m, No. 225

Geometry as POSCAR:
```
ReP2Ru
1.0
0.000 2.956 2.956
2.956 0.000 2.956
2.956 2.956 0.000
Re P Ru
1 2 1
Direct
0.000 0.000 0.000
0.250 0.250 0.250
0.750 0.750 0.750
0.500 0.500 0.500
```

***

(11)
VASP calculation (PBE-GGA) on a relaxed structure of ReP2Ru.

Output
volume	15.62	Å³ per atom
formation enthalpy at 0 K	-0.04	eV per atom
total magnetic moment	0.0	μB per cell
symmetry	P4mm, No. 99

Geometry as POSCAR:
```
ReP2Ru
1.0
2.863 0.000 0.000
0.000 2.863 0.000
0.000 0.000 7.619
Re P Ru
1 2 1
Direct
0.000 0.000 0.000
0.000 0.000 0.437
0.500 0.500 0.815
0.500 0.500 0.257
```

***

(12)
VASP calculation (PBE-GGA) on a relaxed structure of ReP2Ru.

Output
volume	13.47	Å³ per atom
formation enthalpy at 0 K	-0.11	eV per atom
total magnetic moment	0.0	μB per cell
symmetry	C2/m, No. 12

Geometry as POSCAR:
```
ReP2Ru
1.0
3.768 -1.452 0.000
3.768 1.452 0.000
-1.155 0.000 4.923
Re P Ru
1 2 1
Direct
0.000 0.000 0.000
0.250 0.250 0.757
0.750 0.750 0.243
0.500 0.500 0.500
```

***

(13)
VASP calculation (PBE-GGA) on a relaxed structure of RePRu2.

Output
volume	14.23	Å³ per atom
formation enthalpy at 0 K	0.40	eV per atom
total magnetic moment	0.6	μB per cell
symmetry	Cmm2, No. 35

Geometry as POSCAR:
```
RePRu2
1.0
1.436 -2.389 0.000
1.436 2.389 0.000
0.000 0.000 8.296
Re P Ru
1 1 2
Direct
0.000 0.000 0.000
0.500 0.500 0.768
0.000 0.000 0.551
0.500 0.500 0.270
```

***

(14)
VASP calculation (PBE-GGA) on a relaxed structure of ReP2Ru.

Output
volume	14.21	Å³ per atom
formation enthalpy at 0 K	0.27	eV per atom
total magnetic moment	0.0	μB per cell
symmetry	Cmmm, No. 65

Geometry as POSCAR:
```
ReP2Ru
1.0
1.459 -2.558 0.000
1.459 2.558 0.000
0.000 0.000 7.616
Re P Ru
1 2 1
Direct
0.000 0.000 0.000
0.500 0.500 0.253
0.500 0.500 0.747
0.000 0.000 0.500
```

***

(15)
VASP calculation (PBE-GGA) on a relaxed structure of RePRu2.

Output
volume	13.73	Å³ per atom
formation enthalpy at 0 K	-0.08	eV per atom
total magnetic moment	0.0	μB per cell
symmetry	P2/m, No. 10

Geometry as POSCAR:
```
RePRu2
1.0
2.813 0.000 0.000
0.000 3.941 0.000
-1.250 0.000 4.952
Re P Ru
1 1 2
Direct
0.000 0.000 0.000
0.000 0.000 0.500
0.364 0.500 0.735
0.636 0.500 0.265
```

***

(16)
VASP calculation (PBE-GGA) on a relaxed structure of ReP2Ru.

Output
volume	14.22	Å³ per atom
formation enthalpy at 0 K	0.27	eV per atom
total magnetic moment	0.0	μB per cell
symmetry	Immm, No. 71

Geometry as POSCAR:
```
ReP2Ru
1.0
-1.440 2.580 3.827
1.440 -2.580 3.827
1.440 2.580 -3.827
Re P Ru
1 2 1
Direct
0.000 0.000 0.000
0.252 0.752 0.500
0.748 0.248 0.500
0.500 0.500 0.000
```

***

(17)
VASP calculation (PBE-GGA) on a relaxed structure of ReP2Ru.

Output
volume	13.42	Å³ per atom
formation enthalpy at 0 K	-0.26	eV per atom
total magnetic moment	0.0	μB per cell
symmetry	Pmm2, No. 25

Geometry as POSCAR:
```
ReP2Ru
1.0
2.953 0.000 0.000
0.000 4.431 0.000
0.000 0.000 4.105
Re P Ru
1 2 1
Direct
0.000 0.000 0.000
0.000 0.500 0.242
0.500 0.000 0.498
0.500 0.500 0.738
```

***

(18)
VASP calculation (PBE-GGA) on a relaxed structure of ReP2Ru.

Output
volume	12.89	Å³ per atom
formation enthalpy at 0 K	-0.18	eV per atom
total magnetic moment	0.0	μB per cell
symmetry	P4/mmm, No. 123

Geometry as POSCAR:
```
ReP2Ru
1.0
4.168 0.000 0.000
0.000 4.168 0.000
0.000 0.000 2.968
Re P Ru
1 2 1
Direct
0.000 0.000 0.000
0.000 0.500 0.500
0.500 0.000 0.500
0.500 0.500 0.000
```

***

(19)
VASP calculation (PBE-GGA) on a relaxed structure of RePRu4.

Output
volume	15.13	Å³ per atom
formation enthalpy at 0 K	0.86	eV per atom
total magnetic moment	0.0	μB per cell
symmetry	F-43m, No. 216

Geometry as POSCAR:
```
RePRu4
1.0
0.000 3.567 3.567
3.567 0.000 3.567
3.567 3.567 0.000
Re P Ru
1 1 4
Direct
0.000 0.000 0.000
0.750 0.750 0.750
0.375 0.375 0.375
0.375 0.375 0.875
0.375 0.875 0.375
0.875 0.375 0.375
```

***

(20)
VASP calculation (PBE-GGA) on a relaxed structure of ReP2Ru.

Output
volume	13.41	Å³ per atom
formation enthalpy at 0 K	-0.24	eV per atom
total magnetic moment	0.0	μB per cell
symmetry	Cm, No. 8

Geometry as POSCAR:
```
ReP2Ru
1.0
4.152 -1.506 0.000
4.152 1.506 0.000
-1.091 0.000 4.289
Re P Ru
1 2 1
Direct
0.000 0.000 0.000
0.497 0.497 0.446
0.733 0.733 0.103
0.238 0.238 0.579
```

***

(21)
VASP calculation (PBE-GGA) on a relaxed structure of RePRu2.

Output
volume	13.64	Å³ per atom
formation enthalpy at 0 K	0.13	eV per atom
total magnetic moment	0.0	μB per cell
symmetry	I4/mmm, No. 139

Geometry as POSCAR:
```
RePRu2
1.0
-1.895 1.895 3.798
1.895 -1.895 3.798
1.895 1.895 -3.798
Re P Ru
1 1 2
Direct
0.000 0.000 0.000
0.500 0.500 0.000
0.250 0.750 0.500
0.750 0.250 0.500
```

***

(22)
VASP calculation (PBE-GGA) on a relaxed structure of Re4PRu.

Output
volume	16.14	Å³ per atom
formation enthalpy at 0 K	0.87	eV per atom
total magnetic moment	0.0	μB per cell
symmetry	F-43m, No. 216

Geometry as POSCAR:
```
Re4PRu
1.0
0.000 3.645 3.645
3.645 0.000 3.645
3.645 3.645 0.000
Re P Ru
4 1 1
Direct
0.125 0.125 0.125
0.125 0.125 0.624
0.125 0.624 0.125
0.624 0.125 0.125
0.500 0.500 0.500
0.750 0.750 0.750
```

***

(23)
VASP calculation (PBE-GGA) on a relaxed structure of RePRu2.

Output
volume	13.91	Å³ per atom
formation enthalpy at 0 K	-0.13	eV per atom
total magnetic moment	0.0	μB per cell
symmetry	Amm2, No. 38

Geometry as POSCAR:
```
RePRu2
1.0
3.733 0.000 0.000
0.000 1.412 5.277
0.000 -1.412 5.277
Re P Ru
1 1 2
Direct
0.000 0.000 0.000
0.500 0.839 0.839
0.000 0.274 0.274
0.500 0.618 0.618
```

***

(24)
VASP calculation (PBE-GGA) on a relaxed structure of RePRu2.

Output
volume	14.20	Å³ per atom
formation enthalpy at 0 K	0.13	eV per atom
total magnetic moment	0.0	μB per cell
symmetry	Pmm2, No. 25

Geometry as POSCAR:
```
RePRu2
1.0
2.823 0.000 0.000
0.000 3.836 0.000
0.000 0.000 5.248
Re P Ru
1 1 2
Direct
0.000 0.000 0.000
0.500 0.500 0.670
0.000 0.000 0.525
0.500 0.500 0.192
```

***

(25)
VASP calculation (PBE-GGA) on a relaxed structure of RePRu2.

Output
volume	19.47	Å³ per atom
formation enthalpy at 0 K	0.48	eV per atom
total magnetic moment	0.0	μB per cell
symmetry	I-42d, No. 122

Geometry as POSCAR:
```
RePRu2
1.0
-2.713 2.713 5.290
2.713 -2.713 5.290
2.713 2.713 -5.290
Re P Ru
2 2 4
Direct
0.000 0.000 0.000
0.750 0.250 0.500
0.250 0.750 0.500
0.500 0.500 0.000
0.146 0.625 0.021
0.375 0.396 0.521
0.604 0.125 0.979
0.875 0.854 0.479
```

***

(26)
VASP calculation (PBE-GGA) on a relaxed structure of ReP2Ru.

Output
volume	13.79	Å³ per atom
formation enthalpy at 0 K	0.02	eV per atom
total magnetic moment	0.0	μB per cell
symmetry	Imm2, No. 44

Geometry as POSCAR:
```
ReP2Ru
1.0
-1.471 2.004 4.678
1.471 -2.004 4.678
1.471 2.004 -4.678
Re P Ru
1 2 1
Direct
0.000 0.000 0.000
0.500 0.500 0.000
0.785 0.285 0.500
0.281 0.781 0.500
```

***

(27)
VASP calculation (PBE-GGA) on a relaxed structure of ReP2Ru.

Output
volume	14.08	Å³ per atom
formation enthalpy at 0 K	0.58	eV per atom
total magnetic moment	0.0	μB per cell
symmetry	F-43m, No. 216

Geometry as POSCAR:
```
ReP2Ru
1.0
0.000 3.043 3.043
3.043 0.000 3.043
3.043 3.043 0.000
Re P Ru
1 2 1
Direct
0.000 0.000 0.000
0.250 0.250 0.250
0.500 0.500 0.500
0.750 0.750 0.750
```

***

(28)
VASP calculation (PBE-GGA) on a relaxed structure of RePRu2.

Output
volume	13.74	Å³ per atom
formation enthalpy at 0 K	-0.06	eV per atom
total magnetic moment	0.0	μB per cell
symmetry	R-3m, No. 166

Geometry as POSCAR:
```
RePRu2
1.0
1.397 0.807 8.130
-1.397 0.807 8.130
0.000 -1.613 8.130
Re P Ru
1 1 2
Direct
0.000 0.000 0.000
0.500 0.500 0.500
0.242 0.242 0.242
0.758 0.758 0.758
```

***

(29)
VASP calculation (PBE-GGA) on a relaxed structure of ReP2Ru.

Output
volume	14.85	Å³ per atom
formation enthalpy at 0 K	0.35	eV per atom
total magnetic moment	0.0	μB per cell
symmetry	Cmm2, No. 35

Geometry as POSCAR:
```
ReP2Ru
1.0
1.514 -2.381 0.000
1.514 2.381 0.000
0.000 0.000 8.237
Re P Ru
1 2 1
Direct
0.000 0.000 0.000
0.000 0.000 0.496
0.500 0.500 0.784
0.500 0.500 0.288
```

***

(30)
VASP calculation (PBE-GGA) on a relaxed structure of ReP2Ru.

Output
volume	13.59	Å³ per atom
formation enthalpy at 0 K	-0.17	eV per atom
total magnetic moment	0.4	μB per cell
symmetry	P4mm, No. 99

Geometry as POSCAR:
```
ReP2Ru
1.0
3.135 0.000 0.000
0.000 3.135 0.000
0.000 0.000 5.529
Re P Ru
1 2 1
Direct
0.000 0.000 0.000
0.000 0.000 0.548
0.500 0.500 0.829
0.500 0.500 0.392
```